# 1
Material: SbP2Ir
Method: DFT, PBE
State: relaxed

For the total energy, the calculation gives -5.963 eV/atom. The calculation puts the uncorrected formation energy at -0.012 eV/atom. As for the magnetization: 0.0 μB/cell.

The space group is Cm (No. 8) and the conventional cell measures 7.802, 3.714 and 5.587 Å, with angles of 90.00, 106.27 and 90.00 degrees. The inequivalent atoms are Sb at (0.000, 0.000, 0.000), P at (0.157, 0.500, 0.628), P at (0.280, 0.500, 0.314) and Ir at (0.360, 0.000, 0.632).

# 2
Material: CaLaAgAs
Method: DFT, PBE
State: relaxed

For the total energy, the calculation gives -4.314 eV/atom. As for the magnetization: 0.0 μB/cell. For the energy relative to the elements, the calculation gives -0.7069 eV/atom.

The space group is F-43m (No. 216) and the conventional cell measures 7.437, 7.437 and 7.437 Å, with angles of 90.00, 90.00 and 90.00 degrees. The inequivalent atoms are Ca at (0.000, 0.000, 0.000), La at (0.000, 0.000, 0.500), Ag at (0.250, 0.250, 0.750) and As at (0.250, 0.250, 0.250).

# 3
Material: AlFe2Co
Method: DFT, PBE
State: relaxed

For the total energy, the calculation gives -7.186 eV/atom. As for the magnetization: 10.6 μB/cell. For the energy relative to the elements, the calculation gives -0.2421 eV/atom.

The space group is C2/m (No. 12) and the conventional cell measures 9.086, 2.867 and 3.984 Å, with angles of 90.00, 115.91 and 90.00 degrees. The inequivalent atoms are Al at (0.000, 0.000, 0.000), Fe at (0.243, 0.000, 0.743) and Co at (0.000, 0.500, 0.500).

# 4
Material: CdGa2Rh
Method: DFT, PBE
State: relaxed

For the total energy, the calculation gives -3.848 eV/atom. As for the magnetization: 0.0 μB/cell. For the energy relative to the elements, the calculation gives -0.2675 eV/atom.

The space group is R3m (No. 160, hexagonal axes) and the conventional cell measures 4.2305, 4.2305 and 14.2809 Å, with angles of 90.00, 90.00 and 120.00 degrees. The inequivalent atoms are Cd at (0.0000, 0.0000, 0.0000), Ga at (0.0000, 0.0000, 0.5623), Ga at (0.0000, 0.0000, 0.7869) and Rh at (0.0000, 0.0000, 0.1926).

# 5
Material: Mn2HIrRu
Method: DFT, PBE
State: relaxed

For the total energy, the calculation gives -7.981 eV/atom. As for the magnetization: 2.3 μB/cell. For the relative energy among the computed polymorphs, the calculation gives 0.00 eV per formula unit.

The space group is P4/mmm (No. 123) and the conventional cell measures 3.771, 3.771 and 3.741 Å, with angles of 90.00, 90.00 and 90.00 degrees. The inequivalent atoms are Mn at (0.000, 0.500, 0.000), H at (0.000, 0.000, 0.000), Ir at (0.500, 0.500, 0.500) and Ru at (0.000, 0.000, 0.500).

# 6
Material: TbSmThMg
Method: DFT, PBE
State: relaxed

For the total energy, the calculation gives -4.434 eV/atom. As for the magnetization: 0.0 μB/cell. For the relative energy among the computed polymorphs, the calculation gives 0.82 eV per formula unit. For the energy relative to the elements, the calculation gives 0.1574 eV/atom.

The space group is F-43m (No. 216) and the conventional cell measures 7.868, 7.868 and 7.868 Å, with angles of 90.00, 90.00 and 90.00 degrees. The inequivalent atoms are Tb at (0.000, 0.000, 0.000), Sm at (0.000, 0.000, 0.500), Th at (0.250, 0.250, 0.750) and Mg at (0.250, 0.250, 0.250).

# 7
Material: MgPa2F11
Method: DFT, PBE
State: relaxed

For the total energy, the calculation gives -6.660 eV/atom. The calculation puts the uncorrected formation energy at -3.720 eV/atom. As for the magnetization: 4.0 μB/cell.

The space group is Ibam (No. 72) and the conventional cell measures 8.794, 9.996 and 10.795 Å, with angles of 90.00, 90.00 and 90.00 degrees. The inequivalent atoms are Mg at (0.000, 0.000, 0.250), Pa at (0.128, 0.300, 0.000), F at (0.000, 0.500, 0.000), F at (0.071, 0.138, 0.134), F at (0.141, 0.288, 0.500) and F at (0.230, 0.400, 0.150).

# 8
Material: MnCrSN2
Method: DFT, PBE
State: relaxed

For the total energy, the calculation gives -7.456 eV/atom. The calculation puts the uncorrected formation energy at 0.458 eV/atom. As for the magnetization: 3.9 μB/cell. For the relative energy among the computed polymorphs, the calculation gives 0.74 eV per formula unit.

The space group is P4/mmm (No. 123) and the conventional cell measures 3.563, 3.563 and 5.055 Å, with angles of 90.00, 90.00 and 90.00 degrees. The inequivalent atoms are Mn at (0.000, 0.000, 0.000), Cr at (0.500, 0.500, 0.500), S at (0.000, 0.000, 0.500) and N at (0.000, 0.500, 0.000).

# 9
Material: CuTcAs2
Method: DFT, PBE
State: relaxed

For the total energy, the calculation gives -5.703 eV/atom. As for the magnetization: 0.0 μB/cell. For the relative energy among the computed polymorphs, the calculation gives 0.89 eV per formula unit. For the energy relative to the elements, the calculation gives 0.2372 eV/atom.

The space group is Fm-3m (No. 225) and the conventional cell measures 6.225, 6.225 and 6.225 Å, with angles of 90.00, 90.00 and 90.00 degrees. The inequivalent atoms are Cu at (0.000, 0.000, 0.000), Tc at (0.000, 0.000, 0.500) and As at (0.250, 0.250, 0.250).

# 10
Material: AcHg4Bi2
Method: DFT, PBE
State: relaxed

For the total energy, the calculation gives -2.120 eV/atom. As for the magnetization: 0.0 μB/cell. For the energy relative to the elements, the calculation gives -0.2515 eV/atom.

The space group is R-3m (No. 166, hexagonal axes) and the conventional cell measures 5.4028, 5.4028 and 26.1917 Å, with angles of 90.00, 90.00 and 120.00 degrees. The inequivalent atoms are Ac at (0.0000, 0.0000, 0.0000), Hg at (0.0000, 0.0000, 0.1323), Hg at (0.0000, 0.0000, 0.3865) and Bi at (0.0000, 0.0000, 0.2507).

# 11
Material: LiMn2Pt
Method: DFT, PBE
State: relaxed

For the total energy, the calculation gives -6.448 eV/atom. As for the magnetization: 23.3 μB/cell. For the energy relative to the elements, the calculation gives 0.1254 eV/atom.

The space group is R-3m (No. 166, hexagonal axes) and the conventional cell measures 2.7925, 2.7925 and 27.1910 Å, with angles of 90.00, 90.00 and 120.00 degrees. The inequivalent atoms are Li at (0.0000, 0.0000, 0.0000), Mn at (0.0000, 0.0000, 0.2478) and Pt at (0.0000, 0.0000, 0.5000).

# 12
Material: BeIr2Os
Method: DFT, PBE
State: relaxed

For the total energy, the calculation gives -8.165 eV/atom. As for the magnetization: 0.0 μB/cell. For the energy relative to the elements, the calculation gives 0.0043 eV/atom.

The space group is Cmmm (No. 65) and the conventional cell measures 5.323, 7.509 and 2.706 Å, with angles of 90.00, 90.00 and 90.00 degrees. The inequivalent atoms are Be at (0.000, 0.000, 0.000), Ir at (0.250, 0.250, 0.500) and Os at (0.000, 0.500, 0.000).